No. 1
VASP calculation (PBE-GGA) on an optimized crystal structure of Cr3TeIr.

Its offset from the most stable computed form is 0 meV per atom. Its density of states at the Fermi level is 6.9 states/eV/f.u. The symmetry is Pm-3m (221). For the raw total energy, the calculation gives -0.5325 Ry per atom. Its total magnetization is 2.1469 μB per atom.

a b c (Å): 4.802 4.802 4.802
angles (deg): 90.00 90.00 90.00
Each line ends with the local moment (μB).
Atoms (fractional coordinates):
1 Cr 0.000 0.500 0.000  3.34
2 Cr 0.000 0.000 0.500  3.01
3 Cr 0.500 0.000 0.000  3.66
4 Ir 0.000 0.000 0.000  -0.32
5 Te 0.500 0.500 0.500  -0.07



No. 2
VASP calculation (PBE-GGA) on an optimized crystal structure of CrTeIr2.

Its density of states at the Fermi level is 3.2 states/eV/f.u. The symmetry is I-42d (122). For the raw total energy, the calculation gives -0.5160 Ry per atom. Its total magnetization is 0.0000 μB per atom.

a b c (Å): 5.719 5.719 6.784
angles (deg): 65.07 65.07 90.00
Atoms (fractional coordinates):
1 Cr 0.500 0.500 0.000
2 Cr 0.250 0.750 0.500
3 Ir 0.583 0.125 0.250
4 Ir 0.167 0.625 0.250
5 Ir 0.375 0.417 0.750
6 Ir 0.875 0.833 0.750
7 Te 0.000 0.000 0.000
8 Te 0.750 0.250 0.500



Look up the raw total energy of the first one. -0.5325 Ry per atom